(1)
Below is CaRe2Mo at its PBEsol-relaxed geometry, with properties calculated at the SCAN level.

Cell lengths 3.0836, 4.7058, 5.3871 Å; angles 115.85, 106.63, 90.00 degrees
Positions (direct):
Re1 0.0011 0.0013 0.0025
Re2 0.7294 0.2285 0.4575
Mo1 0.2696 0.7702 0.5404
Ca1 0.4999 0.4999 0.9997

E_form	574	meV per atom
density of states at the Fermi level	0.662	states/eV per atom
total energy	-184.45	eV/f.u.


(2)
Below is BeMoIr2 at its PBEsol-relaxed geometry, with properties calculated at the SCAN level.

Cell lengths 2.6879, 4.7781, 4.9912 Å; angles 117.40, 103.67, 93.94 degrees
Positions (direct):
Be1 0.0000 0.5000 0.0000
Mo1 0.5000 0.0000 0.0000
Ir1 0.0000 0.0000 0.5000
Ir2 0.5000 0.5000 0.5000

E_form	0	meV per atom
density of states at the Fermi level	0.599	states/eV per atom
total energy	-181.44	eV/f.u.